Li2CrAsO6 | PBE with a Hubbard U | optimized geometry

Lattice parameters (Å, degrees): 4.994 4.994 4.812 90.00 90.00 90.00
Space group P4mm (No. 99)
One atom of each set of equivalent atoms:
Li: 0.000 0.500 0.000 x2
Cr: 0.000 0.000 0.665 x1
As: 0.500 0.500 0.664 x1
O: 0.000 0.000 0.333 x1
O: 0.253 0.253 0.798 x4
O: 0.500 0.500 0.315 x1

Values from the calculation:
- Raw total energy: -5.97 eV/atom